Material: MgTi2VO6
Method: DFT, GGA+U
State: optimized geometry

electronic total energy	-81.918	eV per cell
crystal system	trigonal
space group	R3, No. 146

a = 5.140 Å, b = 5.139 Å, c = 5.536 Å
α = 62.35°, β = 62.33°, γ = 60.00°
Last column: magnetic moment on the atom in μB.
Fractional coordinates of all 10 atoms:
1 Mg 0.310 0.310 0.071  0.00
2 Ti 0.521 0.521 0.437  0.14
3 Ti 0.023 0.023 0.932  0.15
4 V 0.815 0.815 0.555  2.48
5 O 0.619 0.240 0.252  0.00
6 O 0.240 0.889 0.252  0.00
7 O 0.889 0.619 0.252  0.00
8 O 0.383 0.735 0.755  -0.01
9 O 0.736 0.127 0.755  -0.01
10 O 0.127 0.383 0.755  -0.01